Pm3Ag2Au | PBE | relaxed

Computed properties:
As for the calculated total energy: -4.321 eV/atom. The crystal system is tetragonal.

Lattice parameters (Å, degrees): 3.708 3.708 11.199 90.00 90.00 90.00
Element x y z (fractional)
Pm  0.000  0.000  0.000
Pm  0.000  0.000  0.338
Pm  0.000  0.000  0.662
Ag  0.500  0.500  0.166
Ag  0.500  0.500  0.834
Au  0.500  0.500  0.500